{"formula": "AcScRh2", "functional": "PBE", "state": "optimized geometry", "cell": [[4.8720, 0.0000, 0.0000], [0.0000, 4.8720, 0.0000], [0.0000, 0.0000, 3.5886]], "species": ["Ac", "Sc", "Rh", "Rh"], "fractional_positions": [[0.0000, 0.0000, 0.0000], [0.5000, 0.5000, 0.0000], [0.0000, 0.5000, 0.5000], [0.5000, 0.0000, 0.5000]], "ef_ev_per_atom": -0.58, "space_group": "No. 123", "dos_ef_per_ev_atom": 0.733, "de_polymorph_mev_per_atom": 76.1, "dft_energy_ev_per_atom": -6.863}